Record 1
# BaSe2O5, relaxed, DFT PBE-GGA
# space group	P2_1/c (14)
# energy	-5.6894	eV per atom
data_BaSe2O5
_chemical_formula_sum 'Ba4 Se8 O20'
_cell_length_a 4.609
_cell_length_b 12.080
_cell_length_c 9.976
_cell_angle_alpha 90.00
_cell_angle_beta 92.67
_cell_angle_gamma 90.00
_space_group_name_H-M_alt 'P 1'
_space_group_IT_number 1
_space_group_name_Hall 'P 1'
loop_
_atom_site_label
_atom_site_fract_x
_atom_site_fract_y
_atom_site_fract_z
Ba1 0.243 0.168 0.461
Ba2 0.243 0.332 0.961
Ba3 0.757 0.668 0.039
Ba4 0.757 0.832 0.539
Se1 0.178 0.603 0.744
Se2 0.178 0.897 0.244
Se3 0.271 0.585 0.354
Se4 0.271 0.915 0.854
Se5 0.729 0.085 0.146
Se6 0.729 0.415 0.646
Se7 0.822 0.103 0.756
Se8 0.822 0.397 0.256
O1 0.117 0.037 0.160
O2 0.117 0.463 0.660
O3 0.166 0.154 0.759
O4 0.166 0.346 0.259
O5 0.233 0.692 0.462
O6 0.233 0.808 0.962
O7 0.237 0.558 0.905
O8 0.237 0.942 0.405
O9 0.287 0.645 0.201
O10 0.287 0.855 0.701
O11 0.713 0.145 0.299
O12 0.713 0.355 0.799
O13 0.763 0.058 0.595
O14 0.763 0.442 0.095
O15 0.767 0.192 0.038
O16 0.767 0.308 0.538
O17 0.834 0.654 0.741
O18 0.834 0.846 0.241
O19 0.883 0.537 0.340
O20 0.883 0.963 0.840


Record 2
# SmPaCrS6, relaxed, DFT PBE-GGA
# space group	P312 (149)
# energy	-6.5597	eV per atom
data_SmPaCrS6
_chemical_formula_sum 'Sm1 Pa1 Cr1 S6'
_cell_length_a 6.473
_cell_length_b 6.473
_cell_length_c 5.822
_cell_angle_alpha 90.00
_cell_angle_beta 90.00
_cell_angle_gamma 120.00
_space_group_name_H-M_alt 'P 1'
_space_group_IT_number 1
_space_group_name_Hall 'P 1'
loop_
_atom_site_label
_atom_site_fract_x
_atom_site_fract_y
_atom_site_fract_z
Sm1 0.000 0.000 0.000
Pa1 0.667 0.333 0.500
Cr1 0.333 0.667 0.000
S1 0.026 0.379 0.244
S2 0.026 0.647 0.756
S3 0.353 0.379 0.756
S4 0.353 0.974 0.244
S5 0.621 0.647 0.244
S6 0.621 0.974 0.756